Crystalline Ho2ZnAu at its relaxed geometry. Source: Alexandria via LeMat-Bulk, functional GGA-PBE.

Cell lengths 5.040, 3.568, 10.103 Å; angles 90.00, 90.00, 90.00 degrees
Space group Pmma (No. 51)
Symmetry-distinct sites (fractional):
Ho (0.250, 0.000, 0.125) x2
Ho (0.250, 0.000, 0.625) x2
Zn (0.250, 0.500, 0.382) x2
Au (0.250, 0.500, 0.869) x2

Summary:
E   -0.297 Ry/atom
Density of states at the Fermi level   4.816 states/eV/cell
M_tot   0.0 μB/f.u.
V   181.7 Å³/cell